{
  "formula": "KNaSi2",
  "functional": "meta-GGA SCAN",
  "state": "single point on PBEsol structure",
  "total_energy_ev_per_atom": -7.73,
  "e_form_raw_ev_per_atom": 0.4162,
  "lattice": [[-2.3621, 2.3621, 10.2746], [2.3621, -2.3621, 10.2746], [2.3621, 2.3621, -10.2746]],
  "species": ["K", "K", "Na", "Na", "Si", "Si", "Si", "Si"],
  "fractional_positions": [[0.0000, 0.0000, 0.0000], [0.7500, 0.2500, 0.5000], [0.2500, 0.7500, 0.5000], [0.5000, 0.5000, 0.0000], [0.3254, 0.6250, 0.2004], [0.3750, 0.5754, 0.7004], [0.4246, 0.1250, 0.7996], [0.8750, 0.6746, 0.2996]]
}

{
  "formula": "H12PbN3Cl5",
  "functional": "meta-GGA SCAN",
  "state": "single point on PBEsol structure",
  "total_energy_ev_per_atom": -9.55,
  "lattice": [[7.8786, 0.0000, 0.0000], [0.0000, 15.9061, 0.0000], [0.0000, 0.0000, 8.5538]],
  "species": ["H", "H", "H", "H", "H", "H", "H", "H", "H", "H", "H", "H", "H", "H", "H", "H", "H", "H", "H", "H", "H", "H", "H", "H", "H", "H", "H", "H", "H", "H", "H", "H", "H", "H", "H", "H", "H", "H", "H", "H", "H", "H", "H", "H", "H", "H", "H", "H", "Pb", "Pb", "Pb", "Pb", "N", "N", "N", "N", "N", "N", "N", "N", "N", "N", "N", "N", "Cl", "Cl", "Cl", "Cl", "Cl", "Cl", "Cl", "Cl", "Cl", "Cl", "Cl", "Cl", "Cl", "Cl", "Cl", "Cl", "Cl", "Cl", "Cl", "Cl"],
  "fractional_positions": [[0.0366, 0.2500, 0.2228], [0.0495, 0.7500, 0.5943], [0.1301, 0.0835, 0.0416], [0.1301, 0.4165, 0.0416], [0.1368, 0.1969, 0.3671], [0.1368, 0.3031, 0.3671], [0.1689, 0.5799, 0.4675], [0.1689, 0.9201, 0.4675], [0.2057, 0.5593, 0.6597], [0.2057, 0.9407, 0.6597], [0.2279, 0.5110, 0.0171], [0.2279, 0.9890, 0.0171], [0.2721, 0.0110, 0.5171], [0.2721, 0.4890, 0.5171], [0.2943, 0.0593, 0.1597], [0.2943, 0.4407, 0.1597], [0.3311, 0.0799, 0.9675], [0.3311, 0.4201, 0.9675], [0.3632, 0.6969, 0.8671], [0.3632, 0.8031, 0.8671], [0.3699, 0.5835, 0.5416], [0.3699, 0.9165, 0.5416], [0.4505, 0.2500, 0.0943], [0.4634, 0.7500, 0.7228], [0.5366, 0.2500, 0.2772], [0.5495, 0.7500, 0.9057], [0.6301, 0.0835, 0.4584], [0.6301, 0.4165, 0.4584], [0.6368, 0.1969, 0.1329], [0.6368, 0.3031, 0.1329], [0.6689, 0.5799, 0.0325], [0.6689, 0.9201, 0.0325], [0.7057, 0.5593, 0.8403], [0.7057, 0.9407, 0.8403], [0.7279, 0.5110, 0.4829], [0.7279, 0.9890, 0.4829], [0.7721, 0.0110, 0.9829], [0.7721, 0.4890, 0.9829], [0.7943, 0.0593, 0.3403], [0.7943, 0.4407, 0.3403], [0.8311, 0.0799, 0.5325], [0.8311, 0.4201, 0.5325], [0.8632, 0.6969, 0.6329], [0.8632, 0.8031, 0.6329], [0.8699, 0.5835, 0.9584], [0.8699, 0.9165, 0.9584], [0.9505, 0.2500, 0.4057], [0.9634, 0.7500, 0.7772], [0.1379, 0.7500, 0.1736], [0.3621, 0.2500, 0.6736], [0.6379, 0.7500, 0.3264], [0.8621, 0.2500, 0.8264], [0.0634, 0.2500, 0.3414], [0.2464, 0.0522, 0.0466], [0.2464, 0.4478, 0.0466], [0.2536, 0.5522, 0.5466], [0.2536, 0.9478, 0.5466], [0.4366, 0.7500, 0.8414], [0.5634, 0.2500, 0.1586], [0.7464, 0.0522, 0.4534], [0.7464, 0.4478, 0.4534], [0.7536, 0.5522, 0.9534], [0.7536, 0.9478, 0.9534], [0.9366, 0.7500, 0.6586], [0.0416, 0.1250, 0.6780], [0.0416, 0.3750, 0.6780], [0.1371, 0.6184, 0.8863], [0.1371, 0.8816, 0.8863], [0.2047, 0.2500, 0.9797], [0.2953, 0.7500, 0.4797], [0.3629, 0.1184, 0.3863], [0.3629, 0.3816, 0.3863], [0.4584, 0.6250, 0.1780], [0.4584, 0.8750, 0.1780], [0.5416, 0.1250, 0.8220], [0.5416, 0.3750, 0.8220], [0.6371, 0.6184, 0.6137], [0.6371, 0.8816, 0.6137], [0.7047, 0.2500, 0.5203], [0.7953, 0.7500, 0.0203], [0.8629, 0.1184, 0.1137], [0.8629, 0.3816, 0.1137], [0.9584, 0.6250, 0.3220], [0.9584, 0.8750, 0.3220]]
}

{
  "formula": "Cr5Cl",
  "functional": "meta-GGA SCAN",
  "state": "single point on PBEsol structure",
  "total_energy_ev_per_atom": -16.11,
  "e_form_raw_ev_per_atom": 0.5380,
  "lattice": [[5.0272, -1.3815, 0.0000], [5.0272, 1.3815, 0.0000], [-1.2993, 0.0000, 4.9932]],
  "species": ["Cr", "Cr", "Cr", "Cr", "Cr", "Cl"],
  "fractional_positions": [[0.0000, 0.0000, 0.0000], [0.0497, 0.0497, 0.5476], [0.3768, 0.3768, 0.2557], [0.6612, 0.6612, 0.3130], [0.7169, 0.7169, 0.8863], [0.3516, 0.3516, 0.6857]]
}

{
  "formula": "TaW",
  "functional": "meta-GGA SCAN",
  "state": "single point on PBEsol structure",
  "total_energy_ev_per_atom": -68.21,
  "delta_e_f_ev_per_atom": -0.075,
  "lattice": [[2.7928, 0.0000, 0.0000], [0.0000, 4.5298, 0.0000], [-0.9718, 0.0000, 5.2126]],
  "species": ["Ta", "Ta", "W", "W"],
  "fractional_positions": [[0.1303, 0.2500, 0.3730], [0.8697, 0.7500, 0.6270], [0.3788, 0.7500, 0.1225], [0.6212, 0.2500, 0.8775]]
}

Question: What is the formula in the fourth record?
Answer: TaW